[1]
12
Lattice="5.6032 0.1724 -0.1222 2.6385 4.8811 -0.8319 -2.4328 -3.2462 10.9832" Properties=species:S:1:pos:R:3 comment="Hf2Zr5Sc5 PBE relaxed" delta_e_f_ev_per_atom=0.01 energy_ev_per_cell=-94.156 rho_g_cm3=6.15 pbc="T T T"
Hf 2.0213 1.2812 7.5564
Hf 3.7876 0.5261 2.4727
Zr 2.9896 -0.6642 5.2589
Zr 4.8622 -0.2277 7.7538
Zr 0.9467 2.0351 2.2753
Zr 2.8193 2.4716 4.7703
Zr 0.0000 0.0000 0.0000
Sc 0.1029 0.8175 5.0757
Sc 5.5116 3.3904 -0.6352
Sc 3.6760 3.7198 1.9521
Sc 2.1330 -1.9124 8.0771
Sc 0.2973 -1.5830 10.6643

***

[2]
11
Lattice="-3.3753 -0.3667 -3.7051 2.3049 -6.2827 -1.4778 -4.7020 -0.8121 7.7719" Properties=species:S:1:pos:R:3 comment="Tm8HgPd2 PBE relaxed" delta_e_f_ev_per_atom=-0.42 energy_ev_per_cell=-51.114 rho_g_cm3=10.13 e_above_lowest_polymorph_kj_per_mol_fu=0 pbc="T T T"
Tm -3.9695 -4.1349 4.0254
Tm -1.6541 -6.6743 -1.2406
Tm -3.9592 -5.0149 0.6950
Tm -7.1167 -2.5509 3.3276
Tm -1.8132 -2.4467 1.8940
Tm -4.1182 -0.7872 3.8295
Tm -1.8029 -3.3267 -1.4365
Tm 1.3443 -4.9107 -0.7386
Hg -1.6876 -0.1834 -1.8526
Pd -5.0678 -2.5829 1.4642
Pd -0.7046 -4.8786 1.1248